Record 1
Crystalline RbNiSb2Te at its relaxed geometry. Source: Alexandria, functional PBE.

The calculation puts the density of states at the Fermi level at 13.62 states/eV/cell. The energy relative to the elements, uncorrected comes out at 9.2 eV/f.u.

It has space group P4/mmm (No. 123), with a = 6.0282 Å, b = 6.0282 Å, c = 6.1190 Å, α = 90.00°, β = 90.00° and γ = 90.00°. The asymmetric unit holds Rb at (0.0000, 0.0000, 0.0000), Ni at (0.5000, 0.5000, 0.5000), Sb at (0.0000, 0.5000, 0.0000) and Te at (0.0000, 0.0000, 0.5000).

Record 2
Crystalline RbNa2Ag2 at its relaxed geometry. Source: Alexandria, functional PBE.

The calculation puts the density of states at the Fermi level at 4.08 states/eV/cell. Its calculated formation energy is 25 meV per atom.

It has space group C2/m (No. 12), with a = 12.7151 Å, b = 4.8925 Å, c = 5.9705 Å, α = 90.00°, β = 106.24° and γ = 90.00°. The asymmetric unit holds Rb at (0.0000, 0.0000, 0.0000), Na at (0.1656, 0.5000, 0.5745) and Ag at (0.2365, 0.5000, 0.1100).

Number 1: electronic total energy -8.97 eV per cell. Number 2: electronic total energy -18.37 eV per cell.